Entry 1:
# ScSbW2

Crystalline ScSbW2 at its relaxed geometry (PBE-GGA, Alexandria via LeMat-Bulk).

```
data_ScSbW2
_cell_length_a 2.912
_cell_length_b 4.601
_cell_length_c 5.679
_cell_angle_alpha 90.00
_cell_angle_beta 90.00
_cell_angle_gamma 90.00
_symmetry_space_group_name_H-M 'P m m m'
_symmetry_Int_Tables_number 47
loop_
_symmetry_equiv_pos_as_xyz
'x,y,z'
'-x,-y,-z'
'-x,-y,z'
'x,y,-z'
'x,-y,-z'
'-x,y,z'
'-x,y,-z'
'x,-y,z'
loop_
_atom_site_label
_atom_site_fract_x
_atom_site_fract_y
_atom_site_fract_z
Sc1 0.000 0.000 0.000
Sb1 0.000 0.000 0.500
W1 0.500 0.500 0.227
```

## Properties
ΔE_f (raw), eV per atom: 0.513
Size of the total moment, μB per atom: 0.000
N(E_F), states/eV/atom: 0.869
Theoretical density, Mg/m³: 11.66



Entry 2:
# Sc2SbW

Crystalline Sc2SbW at its relaxed geometry (PBE-GGA, Alexandria via LeMat-Bulk).

```
data_Sc2SbW
_cell_length_a 3.2359
_cell_length_b 3.2359
_cell_length_c 28.0716
_cell_angle_alpha 90.00
_cell_angle_beta 90.00
_cell_angle_gamma 120.00
_symmetry_space_group_name_H-M 'R -3 m'
_symmetry_Int_Tables_number 166
_symmetry_space_group_name_Hall '-R 3 2"'
loop_
_atom_site_label
_atom_site_fract_x
_atom_site_fract_y
_atom_site_fract_z
Sc1 0.0000 0.0000 0.2431
Sb1 0.0000 0.0000 0.0000
W1 0.0000 0.0000 0.5000
```

## Properties
ΔE_f (raw), eV per atom: 0.049
Size of the total moment, μB per atom: 0.182
N(E_F), states/eV/atom: 1.380
Theoretical density, Mg/m³: 7.74